! K2BeIr, single point on PBEsol structure, DFT meta-GGA SCAN; values from VASP
! Volume = 98.83 Å³ per cell
! M_tot = 0.00 μB/f.u.
! E_form = 0.11 eV/atom
&SYSTEM
  ibrav = 0, nat = 4, ntyp = 3
/
ATOMIC_SPECIES
Ir 192.22 Ir.upf
K 39.10 K.upf
Be 9.01 Be.upf
CELL_PARAMETERS angstrom
-3.026 0.332 0.932
0.331 -2.493 1.963
4.196 5.838 6.706
ATOMIC_POSITIONS angstrom
Ir 2.070 2.550 5.481
K 1.150 5.584 6.897
K -0.298 0.957 3.858
Be 0.335 3.843 4.824


! LaBe2Ir, single point on PBEsol structure, DFT meta-GGA SCAN; values from VASP
! Volume = 66.78 Å³ per cell
! M_tot = 0.00 μB/f.u.
! E_form = -0.58 eV/atom
! Energy above the lowest structure with this stoichiometry = 0.0 meV per atom
&SYSTEM
  ibrav = 0, nat = 4, ntyp = 3
/
ATOMIC_SPECIES
Ir 192.22 Ir.upf
Be 9.01 Be.upf
La 138.91 La.upf
CELL_PARAMETERS angstrom
3.912 0.000 0.000
1.956 3.388 0.000
1.956 1.129 5.039
ATOMIC_POSITIONS angstrom
Ir 3.912 2.258 2.520
Be 1.956 1.129 2.149
La 0.000 0.000 0.000
Be 5.868 3.388 2.891


! LaBe2Ir2, single point on PBEsol structure, DFT meta-GGA SCAN; values from VASP
! Volume = 79.94 Å³ per cell
! M_tot = 0.02 μB/f.u.
! E_form = -0.77 eV/atom
&SYSTEM
  ibrav = 0, nat = 5, ntyp = 3
/
ATOMIC_SPECIES
Be 9.01 Be.upf
Ir 192.22 Ir.upf
La 138.91 La.upf
CELL_PARAMETERS angstrom
4.161 0.000 0.000
0.000 4.161 0.000
-2.080 -2.080 4.618
ATOMIC_POSITIONS angstrom
Be 0.000 0.000 3.187
Ir 2.080 0.000 2.309
Be 2.080 2.080 1.432
Ir 0.000 2.080 2.309
La 0.000 0.000 0.000


! La2BeIr, single point on PBEsol structure, DFT meta-GGA SCAN; values from VASP
! Volume = 99.87 Å³ per cell
! M_tot = 0.03 μB/f.u.
! E_form = -0.59 eV/atom
&SYSTEM
  ibrav = 0, nat = 4, ntyp = 3
/
ATOMIC_SPECIES
Ir 192.22 Ir.upf
La 138.91 La.upf
Be 9.01 Be.upf
CELL_PARAMETERS angstrom
-3.528 1.976 -0.289
-3.018 -0.854 2.568
0.199 5.272 5.186
ATOMIC_POSITIONS angstrom
Ir -1.285 2.219 2.427
La -6.288 1.652 2.757
La -5.018 4.264 5.119
Be -3.474 2.578 3.173


! LaBe2Ir, single point on PBEsol structure, DFT meta-GGA SCAN; values from VASP
! Volume = 68.56 Å³ per cell
! M_tot = 0.00 μB/f.u.
! E_form = -0.56 eV/atom
! Energy above the lowest structure with this stoichiometry = 22.2 meV per atom
&SYSTEM
  ibrav = 0, nat = 4, ntyp = 3
/
ATOMIC_SPECIES
La 138.91 La.upf
Ir 192.22 Ir.upf
Be 9.01 Be.upf
CELL_PARAMETERS angstrom
3.946 0.000 0.000
1.973 3.417 0.000
1.973 1.139 5.085
ATOMIC_POSITIONS angstrom
La 1.973 1.139 1.325
Ir 3.946 2.278 3.480
Be 5.919 3.417 3.718
Be 1.973 1.139 4.139


! La2BeIr, single point on PBEsol structure, DFT meta-GGA SCAN; values from VASP
! Volume = 86.09 Å³ per cell
! M_tot = 0.00 μB/f.u.
! E_form = -0.25 eV/atom
&SYSTEM
  ibrav = 0, nat = 4, ntyp = 3
/
ATOMIC_SPECIES
La 138.91 La.upf
Be 9.01 Be.upf
Ir 192.22 Ir.upf
CELL_PARAMETERS angstrom
3.149 0.000 0.000
0.000 3.149 0.000
0.000 0.000 8.682
ATOMIC_POSITIONS angstrom
La 0.000 0.000 7.994
Be 0.000 0.000 5.008
Ir 1.574 1.574 5.865
La 1.574 1.574 2.838


! LaBe2Ir, single point on PBEsol structure, DFT meta-GGA SCAN; values from VASP
! Volume = 59.73 Å³ per cell
! M_tot = 0.00 μB/f.u.
! E_form = -0.38 eV/atom
! Energy above the lowest structure with this stoichiometry = 200.0 meV per atom
&SYSTEM
  ibrav = 0, nat = 4, ntyp = 3
/
ATOMIC_SPECIES
Ir 192.22 Ir.upf
Be 9.01 Be.upf
La 138.91 La.upf
CELL_PARAMETERS angstrom
2.940 0.000 0.000
0.000 2.940 0.000
0.000 0.000 6.909
ATOMIC_POSITIONS angstrom
Ir 1.470 1.470 0.000
Be 0.000 0.000 1.120
Be 0.000 0.000 5.789
La 1.470 1.470 3.455


! LaBePIr2, single point on PBEsol structure, DFT meta-GGA SCAN; values from VASP
! Volume = 88.35 Å³ per cell
! M_tot = 0.84 μB/f.u.
! E_form = 0.12 eV/atom
&SYSTEM
  ibrav = 0, nat = 5, ntyp = 4
/
ATOMIC_SPECIES
La 138.91 La.upf
Ir 192.22 Ir.upf
P 30.97 P.upf
Be 9.01 Be.upf
CELL_PARAMETERS angstrom
4.163 0.000 0.000
0.000 4.163 0.000
0.000 0.000 5.097
ATOMIC_POSITIONS angstrom
La 0.000 0.000 2.548
Ir 0.000 2.082 0.000
P 2.082 2.082 2.548
Be 0.000 0.000 0.000
Ir 2.082 0.000 0.000


! LiBeIr2, single point on PBEsol structure, DFT meta-GGA SCAN; values from VASP
! Volume = 48.41 Å³ per cell
! M_tot = 0.00 μB/f.u.
! E_form = -0.29 eV/atom
&SYSTEM
  ibrav = 0, nat = 4, ntyp = 3
/
ATOMIC_SPECIES
Li 6.94 Li.upf
Ir 192.22 Ir.upf
Be 9.01 Be.upf
CELL_PARAMETERS angstrom
-1.655 0.838 -2.023
0.007 -3.634 -1.511
-3.575 -1.043 2.492
ATOMIC_POSITIONS angstrom
Li -0.824 -1.398 -1.767
Ir 0.000 0.000 0.000
Be -1.784 -2.339 0.491
Ir -2.615 -0.103 0.235


! LiBeIr2, single point on PBEsol structure, DFT meta-GGA SCAN; values from VASP
! Volume = 107.27 Å³ per cell
! M_tot = 0.00 μB/f.u.
! E_form = 0.25 eV/atom
&SYSTEM
  ibrav = 0, nat = 8, ntyp = 3
/
ATOMIC_SPECIES
Li 6.94 Li.upf
Ir 192.22 Ir.upf
Be 9.01 Be.upf
CELL_PARAMETERS angstrom
-1.616 -0.106 3.248
-1.514 -3.185 -0.857
8.017 -2.251 1.887
ATOMIC_POSITIONS angstrom
Li -1.565 -1.646 1.195
Ir 0.076 -3.389 0.934
Ir 4.054 -3.751 2.908
Be 2.469 -3.541 1.112
Ir 0.020 -1.850 2.998
Li 2.418 -2.001 3.165
Be 0.000 0.000 0.000
Ir 5.624 -2.094 1.715


! LiBeIr, single point on PBEsol structure, DFT meta-GGA SCAN; values from VASP
! Volume = 35.72 Å³ per cell
! M_tot = 0.00 μB/f.u.
! E_form = -0.41 eV/atom
&SYSTEM
  ibrav = 0, nat = 3, ntyp = 3
/
ATOMIC_SPECIES
Ir 192.22 Ir.upf
Be 9.01 Be.upf
Li 6.94 Li.upf
CELL_PARAMETERS angstrom
2.915 0.000 0.000
0.000 2.915 0.000
-1.458 -1.458 4.203
ATOMIC_POSITIONS angstrom
Ir 1.458 1.458 1.144
Be 0.000 0.000 0.268
Li 0.000 0.000 2.791


! LiBeIr2, single point on PBEsol structure, DFT meta-GGA SCAN; values from VASP
! Volume = 49.27 Å³ per cell
! M_tot = 0.00 μB/f.u.
! E_form = -0.43 eV/atom
&SYSTEM
  ibrav = 0, nat = 4, ntyp = 3
/
ATOMIC_SPECIES
Ir 192.22 Ir.upf
Be 9.01 Be.upf
Li 6.94 Li.upf
CELL_PARAMETERS angstrom
2.686 0.000 0.000
1.343 2.326 0.000
1.343 0.775 7.886
ATOMIC_POSITIONS angstrom
Ir 4.029 2.326 6.113
Be 0.000 0.000 0.000
Li 2.686 1.551 3.943
Ir 1.343 0.775 1.773


! LiBeIr2, single point on PBEsol structure, DFT meta-GGA SCAN; values from VASP
! Volume = 49.05 Å³ per cell
! M_tot = 0.00 μB/f.u.
! E_form = -0.19 eV/atom
&SYSTEM
  ibrav = 0, nat = 4, ntyp = 3
/
ATOMIC_SPECIES
Li 6.94 Li.upf
Be 9.01 Be.upf
Ir 192.22 Ir.upf
CELL_PARAMETERS angstrom
4.109 0.000 0.000
2.054 3.558 0.000
2.054 1.186 3.355
ATOMIC_POSITIONS angstrom
Li 2.054 1.186 0.839
Be 4.109 2.372 1.677
Ir 6.163 3.558 2.516
Ir 0.000 0.000 0.000


! Li2Be2Ir, single point on PBEsol structure, DFT meta-GGA SCAN; values from VASP
! Volume = 111.88 Å³ per cell
! M_tot = 0.00 μB/f.u.
! E_form = 0.01 eV/atom
&SYSTEM
  ibrav = 0, nat = 10, ntyp = 3
/
ATOMIC_SPECIES
Li 6.94 Li.upf
Be 9.01 Be.upf
Ir 192.22 Ir.upf
CELL_PARAMETERS angstrom
-1.244 1.064 2.761
-5.046 -2.827 -1.184
2.039 -4.799 2.769
ATOMIC_POSITIONS angstrom
Li -2.286 -5.353 2.899
Be -2.952 -2.501 -0.366
Be 0.009 -2.118 0.821
Be -0.055 -5.125 1.951
Li -1.965 -1.210 1.446
Ir -1.503 -3.813 0.792
Li -4.148 -3.425 1.317
Li -0.103 -3.138 3.029
Ir 0.000 0.000 0.000
Be -3.016 -5.508 0.764


! LiBeIr2, single point on PBEsol structure, DFT meta-GGA SCAN; values from VASP
! Volume = 49.48 Å³ per cell
! M_tot = 0.00 μB/f.u.
! E_form = -0.41 eV/atom
&SYSTEM
  ibrav = 0, nat = 4, ntyp = 3
/
ATOMIC_SPECIES
Be 9.01 Be.upf
Ir 192.22 Ir.upf
Li 6.94 Li.upf
CELL_PARAMETERS angstrom
-1.343 -2.278 0.606
3.855 -2.054 0.820
-1.362 3.280 3.237
ATOMIC_POSITIONS angstrom
Be -0.671 -1.139 0.303
Ir -0.042 0.492 1.754
Ir 1.193 -1.544 2.910
Li 1.928 -1.027 0.410


! Li2TiBeIr, single point on PBEsol structure, DFT meta-GGA SCAN; values from VASP
! Volume = 67.50 Å³ per cell
! M_tot = 2.98 μB/f.u.
! E_form = 1.49 eV/atom
&SYSTEM
  ibrav = 0, nat = 5, ntyp = 4
/
ATOMIC_SPECIES
Ir 192.22 Ir.upf
Ti 47.87 Ti.upf
Li 6.94 Li.upf
Be 9.01 Be.upf
CELL_PARAMETERS angstrom
-0.063 -3.727 -1.425
0.721 -1.412 3.662
-4.169 -0.212 0.739
ATOMIC_POSITIONS angstrom
Ir -1.755 -2.676 1.488
Ti 0.000 0.000 0.000
Li 0.360 -0.706 1.831
Be -2.084 -0.106 0.369
Li -0.031 -1.863 -0.712


! MgBeIr2, single point on PBEsol structure, DFT meta-GGA SCAN; values from VASP
! Volume = 53.00 Å³ per cell
! M_tot = 0.00 μB/f.u.
! E_form = -0.29 eV/atom
! Energy above the lowest structure with this stoichiometry = 217.8 meV per atom
&SYSTEM
  ibrav = 0, nat = 4, ntyp = 3
/
ATOMIC_SPECIES
Ir 192.22 Ir.upf
Be 9.01 Be.upf
Mg 24.30 Mg.upf
CELL_PARAMETERS angstrom
2.880 0.000 0.000
0.000 2.880 0.000
0.000 0.000 6.389
ATOMIC_POSITIONS angstrom
Ir 0.000 0.000 6.080
Be 1.440 1.440 5.063
Ir 1.440 1.440 1.557
Mg 0.000 0.000 3.273


! Mg2BeIr, single point on PBEsol structure, DFT meta-GGA SCAN; values from VASP
! Volume = 62.79 Å³ per cell
! M_tot = 0.06 μB/f.u.
! E_form = -0.05 eV/atom
&SYSTEM
  ibrav = 0, nat = 4, ntyp = 3
/
ATOMIC_SPECIES
Ir 192.22 Ir.upf
Mg 24.30 Mg.upf
Be 9.01 Be.upf
CELL_PARAMETERS angstrom
-0.913 -1.636 2.203
-1.662 -2.311 -0.507
6.232 -6.254 -0.162
ATOMIC_POSITIONS angstrom
Ir 2.501 -7.483 1.175
Mg 1.153 -2.717 0.359
Mg 5.979 -6.078 -0.136
Be 2.083 -5.278 0.741


! MgBe2Ir2, single point on PBEsol structure, DFT meta-GGA SCAN; values from VASP
! Volume = 116.78 Å³ per cell
! M_tot = 0.00 μB/f.u.
! E_form = -0.71 eV/atom
! Energy above the lowest structure with this stoichiometry = 0.0 meV per atom
&SYSTEM
  ibrav = 0, nat = 10, ntyp = 3
/
ATOMIC_SPECIES
Mg 24.30 Mg.upf
Be 9.01 Be.upf
Ir 192.22 Ir.upf
CELL_PARAMETERS angstrom
2.892 0.000 0.000
0.000 6.355 0.000
0.000 0.000 6.355
ATOMIC_POSITIONS angstrom
Mg 0.000 0.000 0.000
Be 0.000 3.976 0.799
Be 0.000 5.556 3.976
Ir 1.446 1.036 4.213
Ir 1.446 4.213 5.319
Be 0.000 2.379 5.556
Ir 1.446 2.142 1.036
Ir 1.446 5.319 2.142
Mg 0.000 3.177 3.177
Be 0.000 0.799 2.379


! MgBeIr2, single point on PBEsol structure, DFT meta-GGA SCAN; values from VASP
! Volume = 50.91 Å³ per cell
! M_tot = 0.00 μB/f.u.
! E_form = -0.51 eV/atom
! Energy above the lowest structure with this stoichiometry = 0.0 meV per atom
&SYSTEM
  ibrav = 0, nat = 4, ntyp = 3
/
ATOMIC_SPECIES
Be 9.01 Be.upf
Ir 192.22 Ir.upf
Mg 24.30 Mg.upf
CELL_PARAMETERS angstrom
-0.718 -2.632 0.888
2.724 -0.847 -0.309
1.175 1.650 5.844
ATOMIC_POSITIONS angstrom
Be 1.590 -0.914 3.212
Ir 0.335 0.470 1.665
Ir 0.840 1.180 4.179
Mg 1.003 -1.740 0.290